VASP calculation (PBE with a Hubbard U) on a relaxed structure of NiTeO2.

Results
Total moment: 0.00 μB per formula unit
DFT total energy: -0.1657 Ha/atom
Space-group type: No. 1

Unit cell a=6.0501 b=6.2116 c=4.0203 alpha=100.96 beta=117.28 gamma=76.49
Closest atoms and distances in Å follow each position.
Element x y z (fractional)
1 Te 0.6364 0.6430 0.4125  1 O 2.08
2 Te 0.0483 0.1318 0.3377  3 O 1.89-2.11
3 Ni 0.2635 0.5609 0.7418  3 O 1.91-1.99
4 Ni 0.5148 0.9890 0.0597  3 O 1.91-1.97
5 O 0.7757 0.1368 0.4489  1 Te 1.89, 1 Ni 1.91
6 O 0.2634 0.8508 0.6341  2 Ni 1.91-1.93, 1 Te 2.11
7 O 0.2982 0.2558 0.8084  2 Ni 1.91-1.97, 1 Te 1.96
8 O 0.9460 0.4872 0.3079  1 Ni 1.99, 2 Te 2.08-2.16